Computed, not measured: a geometry-optimized TaReSeN2 structure at the PBE-GGA level of DFT.

Values from the calculation:
uncorrected formation energy: 85 kJ/mol of atoms
distance to the lowest polymorph of the same formula: 0.0000 eV per atom
calculated volume: 78.3 Å³ per cell
magnetic moment: 1.624 μB/cell

```
data_TaReSeN2
_chemical_formula_sum 'Ta1 Re1 Se1 N2'
_cell_length_a 3.8433
_cell_length_b 3.8433
_cell_length_c 5.3042
_cell_angle_alpha 90.00
_cell_angle_beta 90.00
_cell_angle_gamma 90.00
_space_group_name_H-M_alt 'P 4/m m m'
_space_group_IT_number 123
_space_group_name_Hall '-P 4 2'
loop_
_atom_site_label
_atom_site_type_symbol
_atom_site_fract_x
_atom_site_fract_y
_atom_site_fract_z
Ta1 Ta 0.0000 0.0000 0.0000
Re1 Re 0.5000 0.5000 0.5000
Se1 Se 0.5000 0.5000 0.0000
N1 N 0.0000 0.5000 0.5000
```